# Ho2MgBePt6

A relaxed structure of Ho2MgBePt6 (PBE, the Alexandria database).

Unit cell a=5.610 b=7.571 c=7.570 alpha=43.49 beta=68.25 gamma=90.00
Fractional coordinates of all 10 atoms:
Mg1 0.000 0.000 0.000
Ho1 0.710 0.290 0.581
Ho2 0.290 0.710 0.419
Pt1 0.260 0.740 0.971
Pt2 0.260 0.231 0.480
Pt3 0.769 0.740 0.971
Pt4 0.231 0.260 0.029
Pt5 0.740 0.769 0.520
Pt6 0.740 0.260 0.029
Be1 0.500 0.500 0.000

## Properties
- formation energy from the elements (meV per atom) = -830.5
- density of states at the Fermi level (states/eV/f.u.) = 3.7


# GePb

A relaxed structure of GePb (PBE, the Alexandria database).

Unit cell a=8.882 b=8.882 c=8.882 alpha=90.00 beta=90.00 gamma=90.00
Fractional coordinates of all 16 atoms:
Ge1 0.157 0.157 0.157
Ge2 0.157 0.843 0.843
Ge3 0.657 0.343 0.343
Ge4 0.343 0.657 0.343
Ge5 0.657 0.657 0.657
Ge6 0.343 0.343 0.657
Ge7 0.843 0.843 0.157
Ge8 0.843 0.157 0.843
Pb1 0.162 0.838 0.162
Pb2 0.662 0.338 0.662
Pb3 0.838 0.838 0.838
Pb4 0.338 0.338 0.338
Pb5 0.662 0.662 0.338
Pb6 0.338 0.662 0.662
Pb7 0.838 0.162 0.162
Pb8 0.162 0.162 0.838

## Properties
- formation energy from the elements (meV per atom) = 443.6
- density of states at the Fermi level (states/eV/f.u.) = 0.8


# LiPW2

A relaxed structure of LiPW2 (PBE, the Alexandria database).

Unit cell a=5.008 b=5.008 c=4.435 alpha=63.58 beta=63.58 gamma=36.14
Fractional coordinates of all 4 atoms:
Li1 0.750 0.750 0.750
W1 0.519 0.519 0.481
W2 0.981 0.981 0.019
P1 0.250 0.250 0.250

## Properties
- formation energy from the elements (meV per atom) = 208.4
- density of states at the Fermi level (states/eV/f.u.) = 2.0


> Among the records above, which one has the lowest density of states at the Fermi level?

GePb


> Number 1 is which compound?

Ho2MgBePt6


> Which value of density of states at the Fermi level does entry 2 give?

0.8 states/eV/f.u.